## In5I5Cl (PBE)

Data for an optimized crystal structure of In5I5Cl.

Properties
energy	-2.607	eV/atom
E_form (uncorrected)	-489	meV/atom

a = 6.618 Å, b = 8.295 Å, c = 9.524 Å
α = 106.93°, β = 90.00°, γ = 113.51°
Sites, in units of the cell vectors:
In1 0.849 0.698 0.171
In2 0.843 0.686 0.674
In3 0.500 0.000 0.000
In4 0.157 0.314 0.326
In5 0.151 0.302 0.829
I1 0.680 0.359 0.334
I2 0.671 0.343 0.839
I3 0.000 0.000 0.500
I4 0.329 0.657 0.161
I5 0.320 0.641 0.666
Cl1 0.000 0.000 0.000

***

## Pr2ScSn4Pd3 (PBE)

Data for an optimized crystal structure of Pr2ScSn4Pd3.

Properties
formation energy from the elements	-0.76	eV per atom
energy	-5.507	eV/atom

a = 4.426 Å, b = 4.426 Å, c = 12.074 Å
α = 90.00°, β = 90.00°, γ = 90.00°
Sites, in units of the cell vectors:
Pr1 0.500 0.000 0.242
Pr2 0.000 0.500 0.758
Sc1 0.500 0.500 0.500
Sn1 0.500 0.500 0.000
Sn2 0.000 0.000 0.000
Sn3 0.500 0.000 0.650
Sn4 0.000 0.500 0.350
Pd1 0.000 0.000 0.500
Pd2 0.500 0.000 0.869
Pd3 0.000 0.500 0.131

***

## Sr2Cd2Sn (PBE)

Data for an optimized crystal structure of Sr2Cd2Sn.

Properties
formation energy from the elements	-0.36	eV per atom
energy	-2.204	eV/atom

a = 7.944 Å, b = 7.944 Å, c = 5.076 Å
α = 90.00°, β = 90.00°, γ = 90.00°
Sites, in units of the cell vectors:
Sr1 0.182 0.682 0.500
Sr2 0.682 0.818 0.500
Sr3 0.818 0.318 0.500
Sr4 0.318 0.182 0.500
Sn1 0.000 0.000 0.000
Sn2 0.500 0.500 0.000
Cd1 0.375 0.875 0.000
Cd2 0.875 0.625 0.000
Cd3 0.625 0.125 0.000
Cd4 0.125 0.375 0.000